Here is a crystal of LiTa3Al relaxed with PBEsol from Alexandria via LeMat-Bulk. Energies are from SCAN.

Properties
ΔH_f (0 K): 0.955 eV per atom
total magnetic moment: 0.0000 μB/atom
DFT total energy: -41.02 eV/atom

Unit cell a=4.3540 b=4.3540 c=4.3540 alpha=90.00 beta=90.00 gamma=90.00
With the nearest neighbours (Å) after each atom.
Space group Pm-3m (No. 221)
Inequivalent atoms, fractional coordinates:
Li (0.0000, 0.0000, 0.0000) x1  6 Ta 2.18
Ta (0.0000, 0.0000, 0.5000) x3  2 Li 2.18
Al (0.5000, 0.5000, 0.5000) x1  12 Ta 3.08